This record from Alexandria via LeMat-Bulk describes a relaxed BaNiIr2Ru crystal. The functional is PBE-GGA.

Lattice parameters (Å, degrees): 5.0689 5.0053 5.0689 90.00 90.00 90.00
With the nearest neighbours (Å) after each atom.
Atoms (fractional coordinates):
Ni 0.5000 0.5000 0.5000  8 Ir 3.56, 4 Ru 3.58
Ru 0.0000 0.5000 0.0000  2 Ba 2.50
Ir 0.5000 0.0000 0.0000  2 Ba 2.53
Ir 0.0000 0.0000 0.5000  2 Ba 2.53
Ba 0.0000 0.0000 0.0000  2 Ru 2.50, 4 Ir 2.53

Space-group type: No. 123
M_tot, μB/cell: 1.940
Formation energy from the elements, meV per atom: 3089.2
Theoretical density, g cm⁻³: 8.8

---

This record from Alexandria via LeMat-Bulk describes a relaxed KOs2Rh crystal. The functional is PBE-GGA.

Lattice parameters (Å, degrees): 4.8101 3.7740 3.7740 90.00 90.00 90.00
With the nearest neighbours (Å) after each atom.
Atoms (fractional coordinates):
Rh 0.5000 0.5000 0.0000  4 K 2.67
K 0.5000 0.0000 0.5000  4 Rh 2.67
Os 0.0000 0.5000 0.5000  4 Os 2.67
Os 0.0000 0.0000 0.0000  4 Os 2.67

Space-group type: No. 123
Energy relative to the lowest polymorph listed for this composition, eV/atom: 0.922
M_tot, μB/cell: 0.000
Formation energy from the elements, meV per atom: 1581.9
Theoretical density, g cm⁻³: 12.7

---

This record from Alexandria via LeMat-Bulk describes a relaxed SrGaBr3 crystal. The functional is PBE-GGA.

Lattice parameters (Å, degrees): 5.9467 5.9467 5.9467 90.00 90.00 90.00
With the nearest neighbours (Å) after each atom.
Atoms (fractional coordinates):
Br 0.5000 0.0000 0.0000  2 Sr 2.97
Ga 0.5000 0.5000 0.5000  12 Br 4.20
Br 0.0000 0.5000 0.0000  2 Sr 2.97
Sr 0.0000 0.0000 0.0000  6 Br 2.97
Br 0.0000 0.0000 0.5000  2 Sr 2.97

ΔE_f (raw), eV/atom: -1.288
Space-group type: No. 221
Energy relative to the lowest polymorph listed for this composition, eV/atom: 0.186
M_tot, μB/cell: 0.000
Theoretical density, g cm⁻³: 3.1

---

This record from Alexandria via LeMat-Bulk describes a relaxed MgTc2W crystal. The functional is PBE-GGA.

Lattice parameters (Å, degrees): 5.1557 5.1557 5.1557 144.79 126.75 65.45
With the nearest neighbours (Å) after each atom.
Atoms (fractional coordinates):
Mg 0.2500 0.7500 0.5000  8 Tc 2.77-3.09, 4 W 2.79
Tc 0.5136 0.5136 0.0000  2 W 2.58, 2 Mg 2.77, 4 Tc 2.80
W 0.7500 0.2500 0.5000  4 Tc 2.58, 4 Mg 2.79
Tc 0.9864 0.9864 0.0000  2 W 2.58, 2 Mg 2.77, 4 Tc 2.80

Space-group type: No. 71
M_tot, μB/cell: 0.000
Formation energy from the elements, meV per atom: 206.9
Theoretical density, g cm⁻³: 10.7

---

This record from Alexandria via LeMat-Bulk describes a relaxed BiTeC crystal. The functional is PBE-GGA.

Lattice parameters (Å, degrees): 4.8530 4.1790 17.0811 90.00 99.92 90.00
With the nearest neighbours (Å) after each atom.
Atoms (fractional coordinates):
Bi 0.6141 0.5000 0.9455  2 C 2.37
Te 0.1179 0.0000 0.2913  5 Bi 3.12-3.30
C 0.3685 0.1583 0.0207  1 C 1.32
Bi 0.6141 0.0000 0.4455  2 C 2.37
Te 0.1719 0.5000 0.0881  2 C 2.16
Te 0.1179 0.5000 0.7913  5 Bi 3.12-3.30
C 0.3685 0.3417 0.5207  1 C 1.32
C 0.3685 0.6583 0.5207  1 C 1.32
C 0.3685 0.8417 0.0207  1 C 1.32
Bi 0.6363 0.5000 0.2796  4 Te 3.12-3.30
Te 0.1719 0.0000 0.5881  2 C 2.16
Bi 0.6363 0.0000 0.7796  4 Te 3.12-3.30

ΔE_f (raw), eV/atom: 0.616
Space-group type: No. 8
Energy relative to the lowest polymorph listed for this composition, eV/atom: 0.062
M_tot, μB/cell: 0.000
Theoretical density, g cm⁻³: 6.8

---

This record from Alexandria via LeMat-Bulk describes a relaxed DyErO2 crystal. The functional is PBE-GGA.

Lattice parameters (Å, degrees): 3.6072 3.6072 6.7570 74.52 74.52 60.00
With the nearest neighbours (Å) after each atom.
Atoms (fractional coordinates):
Dy 0.5000 0.5000 0.5000  6 O 2.33
O 0.8874 0.8874 0.3379  1 Er 2.17, 3 Dy 2.33
O 0.1126 0.1126 0.6621  1 Er 2.17, 3 Dy 2.33
Er 0.0000 0.0000 0.0000  2 O 2.17

ΔE_f (raw), eV/atom: -2.943
Space-group type: No. 166
M_tot, μB/cell: 0.000
Theoretical density, g cm⁻³: 8.3

---

The records above give, respectively, Fermi-level density of states values of 2.4557, 1.5384, 0.0000, 0.7328, 0.3440, 0.2310 states/eV/atom.